VASP calculation (PBE+U) on an optimized crystal structure of TiCrN2F. Values from VASP.

The structure in Quantum ESPRESSO input format:
```
&SYSTEM
  ibrav = 0, nat = 5, ntyp = 4
/
ATOMIC_SPECIES
Ti 47.87 Ti.upf
N 14.01 N.upf
F 19.00 F.upf
Cr 52.00 Cr.upf
CELL_PARAMETERS angstrom
-2.340 1.245 -3.556
0.044 -3.329 -1.194
-3.767 -0.834 2.187
ATOMIC_POSITIONS angstrom
Ti 0.022 -1.664 -0.597
N -1.170 0.622 -1.778
N -1.883 -0.417 1.093
F 0.000 0.000 0.000
Cr -3.031 -1.459 -1.282
```

## Properties
**Total energy**: -5.816 eV per atom
**Energy above the lowest structure with this stoichiometry**: 8.012 eV per formula unit